(1)
The following is a DFT calculation (PBE-GGA) of crystalline CeTi2S at its relaxed geometry.

density of states at the Fermi level	17.15	states/eV/cell
VASP energy	-6.8300	eV/atom
formation energy from raw total energies	-141.7	kJ/mol of formula units
total magnetic moment	0.356	μB per atom

abc: 3.2585 3.2585 25.5264
angles: 90.00 90.00 120.00
Last column: nearest neighbours and their distance in Å.
Space group R-3m (No. 166, hexagonal axes)
Asymmetric unit:
Ce  0.0000  0.0000  0.0000 x3  2 Ti 2.80
Ti  0.0000  0.0000  0.1098 x6  3 S 2.38
S  0.0000  0.0000  0.5000 x3  6 Ti 2.38

---

(2)
The following is a DFT calculation (PBE-GGA) of crystalline CeTiS3 at its relaxed geometry.

ΔE to the lowest computed polymorph	0.000	eV per atom
density of states at the Fermi level	26.39	states/eV/cell
VASP energy	-6.9424	eV/atom
formation energy from raw total energies	-820.2	kJ/mol of formula units
total magnetic moment	0.288	μB per atom

abc: 7.9101 3.7347 13.0512
angles: 90.00 90.00 90.00
Last column: nearest neighbours and their distance in Å.
Space group Pnma (No. 62)
Asymmetric unit:
Ce  0.0813  0.2500  0.1724 x4  9 S 2.89-3.19
Ti  0.1499  0.7500  0.4498 x4  6 S 2.38-2.52
S  0.0265  0.7500  0.6160 x4  3 Ti 2.38-2.48
S  0.1613  0.7500  0.0099 x4  2 Ti 2.52
S  0.1970  0.2500  0.7866 x4  1 Ti 2.45

---

(3)
The following is a DFT calculation (PBE-GGA) of crystalline Ce5Ti2S12 at its relaxed geometry.

density of states at the Fermi level	60.68	states/eV/cell
VASP energy	-6.7666	eV/atom
formation energy from raw total energies	-3239.6	kJ/mol of formula units
total magnetic moment	0.204	μB per atom

abc: 15.4364 6.9958 8.7987
angles: 90.00 107.00 90.00
Last column: nearest neighbours and their distance in Å.
Space group C2/m (No. 12)
Asymmetric unit:
Ce  0.0000  0.0000  0.0000 x2  6 S 2.74-2.84
Ce  0.1858  0.5000  0.3420 x4  7 S 2.81-2.87
Ce  0.1968  0.5000  0.8486 x4  7 S 2.82-2.89
Ti  0.0000  0.2481  0.5000 x4  6 S 2.40-2.49
S  0.0015  0.0000  0.3127 x4  2 Ti 2.40
S  0.0030  0.5000  0.7010 x4  2 Ti 2.49
S  0.1513  0.2499  0.0716 x8  4 Ce 2.84-2.87
S  0.1657  0.2521  0.5852 x8  1 Ti 2.45

---

Question: Which formula does entry 1 have?
Answer: CeTi2S

---

Question: Which value of formation energy from raw total energies does entry 1 give?
Answer: -141.7 kJ/mol of formula units

---

Question: Look up the formation energy from raw total energies of the second one.
Answer: -820.2 kJ/mol of formula units

---

Question: Which value of total magnetic moment does entry 1 give?
Answer: 0.356 μB per atom